1.
Compound: HOs3Cl
Source: the Alexandria database
Functional: SCAN
Structure: single point on PBEsol structure

```
HOs3Cl
1.0
4.275 0.000 0.000
0.000 4.275 0.000
0.000 0.000 4.275
Os H Cl
3 1 1
direct
0.000 0.000 0.500 Os
0.500 0.000 0.000 Os
0.000 0.500 0.000 Os
0.500 0.500 0.500 H
0.000 0.000 0.000 Cl
```

Results
- Total magnetic moment: 2.145 μB per cell
- Total DFT energy (no corrections): -212.7 eV/f.u.
- DOS(E_F): 4.862 states/eV/cell
- Space-group type: Pm-3m, No. 221


2.
Compound: P2HOsCl
Source: the Alexandria database
Functional: SCAN
Structure: single point on PBEsol structure

```
P2HOsCl
1.0
-0.597 3.370 -1.325
-3.511 -0.209 1.050
1.075 1.739 3.938
P H Os Cl
2 1 1 1
direct
0.500 0.000 0.000 P
0.000 0.500 0.000 P
0.000 0.000 0.000 H
0.500 0.500 0.500 Os
0.000 0.000 0.500 Cl
```

Results
- Total magnetic moment: 0.000 μB per cell
- Total DFT energy (no corrections): -97.9 eV/f.u.
- DOS(E_F): 2.756 states/eV/cell
- Space-group type: P4/mmm, No. 123


3.
Compound: PHCl3
Source: the Alexandria database
Functional: SCAN
Structure: single point on PBEsol structure

```
PHCl3
1.0
4.686 0.000 0.000
0.000 4.686 0.000
0.000 0.000 4.686
Cl P H
3 1 1
direct
0.000 0.000 0.500 Cl
0.500 0.000 0.000 Cl
0.000 0.500 0.000 Cl
0.000 0.000 0.000 P
0.500 0.500 0.500 H
```

Results
- Total magnetic moment: 1.005 μB per cell
- Total DFT energy (no corrections): -36.8 eV/f.u.
- DOS(E_F): 0.246 states/eV/cell
- Space-group type: Pm-3m, No. 221


4.
Compound: PHCl2
Source: the Alexandria database
Functional: SCAN
Structure: single point on PBEsol structure

```
PHCl2
1.0
-2.917 -0.975 -0.834
-1.886 -1.406 2.150
-4.319 5.727 2.318
P Cl H
1 2 1
direct
0.500 0.500 0.500 P
0.929 0.929 0.213 Cl
0.071 0.071 0.787 Cl
0.000 0.000 0.000 H
```

Results
- Total magnetic moment: 0.000 μB per cell
- Total DFT energy (no corrections): -28.3 eV/f.u.
- DOS(E_F): 0.746 states/eV/cell
- Space-group type: R-3m, No. 166


5.
Compound: P2HPbCl
Source: the Alexandria database
Functional: SCAN
Structure: single point on PBEsol structure

```
P2HPbCl
1.0
-1.451 -3.558 -0.600
2.857 -1.528 2.152
-3.269 0.537 4.721
Cl H Pb P
1 1 1 2
direct
0.000 0.000 0.500 Cl
0.000 0.000 0.000 H
0.500 0.500 0.500 Pb
0.000 0.500 0.000 P
0.500 0.000 0.000 P
```

Results
- Total magnetic moment: 0.000 μB per cell
- Total DFT energy (no corrections): -106.0 eV/f.u.
- DOS(E_F): 2.087 states/eV/cell
- Space-group type: P4/mmm, No. 123


6.
Compound: P2HPdCl
Source: the Alexandria database
Functional: SCAN
Structure: single point on PBEsol structure

```
P2HPdCl
1.0
3.657 0.000 0.000
0.000 3.657 0.000
0.000 0.000 4.960
H P Cl Pd
1 2 1 1
direct
0.000 0.000 0.000 H
0.000 0.500 0.000 P
0.500 0.000 0.000 P
0.000 0.000 0.500 Cl
0.500 0.500 0.500 Pd
```

Results
- Total magnetic moment: 0.000 μB per cell
- Total DFT energy (no corrections): -61.5 eV/f.u.
- DOS(E_F): 3.004 states/eV/cell
- Space-group type: P4/mmm, No. 123


Q: Look up the total magnetic moment of the first one.
A: 2.145 μB per cell